1.
A relaxed B5C7 crystal. Source: Alexandria, functional PBE-GGA.

Lattice parameters (Å, degrees): 2.6271 2.6271 14.6147 90.00 90.00 120.00
Closest atoms and distances in Å follow each position.
Element x y z (fractional)
B  0.0000  0.0000  0.0000  3 C 1.53
B  0.0000  0.0000  0.2478  3 C 1.52
B  0.0000  0.0000  0.5864  4 C 1.61-1.67
B  0.3333  0.6667  0.3628  1 C 1.57
B  0.6667  0.3333  0.4346  1 C 1.52
C  0.0000  0.0000  0.6964  3 C 1.60, 1 B 1.61
C  0.3333  0.6667  0.2557  4 B 1.52-1.57
C  0.3333  0.6667  0.7316  4 C 1.55-1.60
C  0.3333  0.6667  0.8378  4 C 1.55-1.60
C  0.6667  0.3333  0.5386  4 B 1.52-1.67
C  0.6667  0.3333  0.8726  4 C 1.60-1.65
C  0.6667  0.3333  0.9854  3 B 1.53, 1 C 1.65

Results
* E_form: 309 meV/atom

***

2.
A relaxed Er8Cu2Tc crystal. Source: Alexandria, functional PBE-GGA.

Lattice parameters (Å, degrees): 8.8807 8.8807 6.6892 107.24 107.24 33.06
Closest atoms and distances in Å follow each position.
Element x y z (fractional)
Er  0.0318  0.0318  0.2962  1 Cu 2.81, 2 Tc 3.00
Er  0.1965  0.1965  0.8142  1 Cu 2.73
Er  0.3321  0.3321  0.5266  1 Cu 2.75, 1 Tc 2.92
Er  0.4081  0.4081  0.0581  1 Tc 2.89, 2 Cu 3.21
Er  0.5919  0.5919  0.9419  1 Tc 2.89, 2 Cu 3.21
Er  0.6679  0.6679  0.4734  1 Cu 2.75, 1 Tc 2.92
Er  0.8035  0.8035  0.1858  1 Cu 2.73
Er  0.9682  0.9682  0.7038  1 Cu 2.81, 2 Tc 3.00
Cu  0.1834  0.1834  0.2105  3 Er 2.73-2.81
Cu  0.8166  0.8166  0.7895  3 Er 2.73-2.81
Tc  0.5000  0.5000  0.5000  8 Er 2.89-3.00

Results
* E_form: -122 meV/atom

***

3.
A relaxed LaPmMnHg crystal. Source: Alexandria, functional PBE-GGA.

Lattice parameters (Å, degrees): 5.3570 5.3570 5.3570 60.00 60.00 60.00
Closest atoms and distances in Å follow each position.
Element x y z (fractional)
La  0.0000  0.0000  0.0000  4 Hg 3.28, 4 Mn 3.28
Pm  0.5000  0.5000  0.5000  4 Hg 3.28, 4 Mn 3.28
Mn  0.2500  0.2500  0.2500  4 La 3.28, 4 Pm 3.28
Hg  0.7500  0.7500  0.7500  4 Pm 3.28, 4 La 3.28

Results
* E_form: -57 meV/atom

***

Record order is preserved below.
Spin magnetization: 0.0; 0.0; 3.3 Bohr magnetons per cell
Record order is preserved below.
Mass density: 2.63; 9.48; 8.24 g/cm³